Here is crystalline TeCl3 at its relaxed geometry from Alexandria. Energies are from PBE.

Properties
Its density of states at the Fermi level is 3.373 states/eV per cell. For the calculated total energy, the calculation gives -0.079 hartree per atom.

Cell lengths 4.429, 4.429, 8.734 Å; angles 90.76, 90.76, 42.43 degrees
Positions (direct):
Te 0.000 0.000 0.000
Cl 0.229 0.229 0.186
Cl 0.500 0.500 0.500
Cl 0.771 0.771 0.814

Here is crystalline PdWSe2 at its relaxed geometry from Alexandria. Energies are from PBE.

Properties
Its density of states at the Fermi level is 4.537 states/eV per cell. For the calculated total energy, the calculation gives -0.220 hartree per atom.

Cell lengths 4.547, 4.547, 4.547 Å; angles 60.00, 60.00, 60.00 degrees
Positions (direct):
Pd 0.000 0.000 0.000
W 0.500 0.500 0.500
Se 0.250 0.250 0.250
Se 0.750 0.750 0.750

Raw formation energy, respectively: 24 305 meV/atom.
Magnetic moment, respectively: 0.06 0.97 μB per formula unit.
Energy above the lowest structure with this stoichiometry, respectively: 0.443 0.401 eV/atom.